VASP calculation (meta-GGA SCAN) on PuF4 at its PBEsol-relaxed geometry.

Results
* symmetry: C2/c
* E_form (uncorrected): -3.64 eV per atom
* crystal system: monoclinic
* total magnetization: 24.00 Bohr magnetons per cell

abc: 8.206 8.206 8.206
angles: 99.43 116.91 63.09
Element x y z (fractional)
Pu 0.669 0.777 0.367
Pu 0.331 0.223 0.633
Pu 0.831 0.367 0.777
Pu 0.169 0.633 0.223
Pu 0.750 0.214 0.214
Pu 0.250 0.786 0.786
F 0.606 0.258 0.681
F 0.394 0.742 0.319
F 0.894 0.681 0.258
F 0.106 0.319 0.742
F 0.956 0.935 0.177
F 0.044 0.065 0.823
F 0.544 0.177 0.935
F 0.456 0.823 0.065
F 0.750 0.600 0.600
F 0.250 0.400 0.400
F 0.500 0.000 0.500
F 0.000 0.500 0.000
F 0.784 0.258 0.498
F 0.216 0.742 0.502
F 0.716 0.498 0.258
F 0.284 0.502 0.742
F 0.928 0.813 0.598
F 0.072 0.187 0.402
F 0.572 0.598 0.813
F 0.428 0.402 0.187
F 0.648 0.029 0.273
F 0.352 0.971 0.727
F 0.852 0.273 0.029
F 0.148 0.727 0.971